The following is a DFT calculation (PBE) of a relaxed Er2Tm2Sc15 crystal.

The structure in POSCAR format:
```
Er2Tm2Sc15
1.0
5.242 3.027 5.386
-5.242 3.027 5.386
0.000 -6.053 5.386
Er Tm Sc
2 2 15
Direct
0.169 0.169 0.169 Er
0.831 0.831 0.831 Er
0.392 0.392 0.392 Tm
0.608 0.608 0.608 Tm
0.000 0.500 0.500 Sc
0.133 0.133 0.652 Sc
0.133 0.652 0.133 Sc
0.198 0.500 0.802 Sc
0.198 0.802 0.500 Sc
0.348 0.867 0.867 Sc
0.500 0.000 0.500 Sc
0.500 0.198 0.802 Sc
0.500 0.500 0.000 Sc
0.500 0.802 0.198 Sc
0.652 0.133 0.133 Sc
0.802 0.198 0.500 Sc
0.802 0.500 0.198 Sc
0.867 0.348 0.867 Sc
0.867 0.867 0.348 Sc
```

ΔE_f (eV per atom): 0.2442
Theoretical density (g/cm³): 4.36
Total magnetic moment (μB per formula unit): 0.1